A relaxed CuNiSe2 crystal. Source: the Alexandria database, functional PBE-GGA.

Calculated values
Crystal system: orthorhombic
SG: Pmmm
Total magnetic moment, μB per cell: 0.0
D(E_F), states/eV per cell: 3.92
Raw formation energy, eV/atom: 0.204
Uncorrected energy, eV per cell: -16.0

a b c (Å): 3.398 3.405 7.019
angles (deg): 90.00 90.00 90.00
Element x y z (fractional)
Cu 0.000 0.000 0.000
Ni 0.500 0.000 0.500
Se 0.000 0.500 0.500
Se 0.500 0.500 0.000